A plane-wave DFT calculation with GGA-PBE was carried out for CuAg2Ru after structural relaxation.

Properties
- Excess energy over the best structure of this formula in the dataset: 285 meV per atom
- Formation energy: 2.31 eV per formula unit
- Size of the total moment: 1.50 μB per cell

a b c (Å): 4.4783 4.4783 4.4783
angles (deg): 60.00 60.00 60.00
Last column: magnetic moment on the atom in μB.
Sites, in units of the cell vectors:
Ag 0.2500 0.2500 0.2500  0.04
Ag 0.7500 0.7500 0.7500  0.04
Ru 0.5000 0.5000 0.5000  1.42
Cu 0.0000 0.0000 0.0000  0.03

A plane-wave DFT calculation with GGA-PBE was carried out for Cu2AgRu after structural relaxation.

Properties
- Excess energy over the best structure of this formula in the dataset: 554 meV per atom
- Formation energy: 3.19 eV per formula unit
- Size of the total moment: 2.49 μB per cell

a b c (Å): 3.7722 3.7722 9.2576
angles (deg): 78.24 78.24 90.00
Last column: magnetic moment on the atom in μB.
Sites, in units of the cell vectors:
Cu 0.6101 0.1250 0.2500  0.09
Cu 0.8750 0.8601 0.7500  0.09
Cu 0.1399 0.6250 0.2500  0.09
Cu 0.3750 0.3899 0.7500  0.09
Ru 0.2500 0.7500 0.5000  1.06
Ru 0.5000 0.5000 0.0000  1.07
Ag 0.7500 0.2500 0.5000  0.03
Ag 0.0000 0.0000 0.0000  0.03

A plane-wave DFT calculation with GGA-PBE was carried out for CuAgRu2 after structural relaxation.

Properties
- Excess energy over the best structure of this formula in the dataset: 195 meV per atom
- Formation energy: 1.72 eV per formula unit
- Size of the total moment: 0.19 μB per cell

a b c (Å): 9.2455 9.2455 9.2455
angles (deg): 16.86 16.86 16.86
Last column: magnetic moment on the atom in μB.
Sites, in units of the cell vectors:
Ru 0.0059 0.0059 0.0059  0.08
Ru 0.4941 0.4941 0.4941  0.08
Ag 0.2500 0.2500 0.2500  0.00
Cu 0.7500 0.7500 0.7500  0.01

A plane-wave DFT calculation with GGA-PBE was carried out for Cu2AgRu after structural relaxation.

Properties
- Excess energy over the best structure of this formula in the dataset: 203 meV per atom
- Formation energy: 1.78 eV per formula unit
- Size of the total moment: 1.00 μB per cell

a b c (Å): 4.7304 4.7304 4.7304
angles (deg): 132.43 132.43 69.55
Last column: magnetic moment on the atom in μB.
Sites, in units of the cell vectors:
Ru 0.5000 0.5000 0.0000  0.86
Ag 0.7500 0.2500 0.5000  0.05
Cu 0.2500 0.7500 0.5000  0.07
Cu 0.0000 0.0000 0.0000  0.04

A plane-wave DFT calculation with GGA-PBE was carried out for CuAgRu2 after structural relaxation.

Properties
- Excess energy over the best structure of this formula in the dataset: 50 meV per atom
- Formation energy: 1.14 eV per formula unit
- Size of the total moment: 0.00 μB per cell

a b c (Å): 3.7542 2.7581 6.2874
angles (deg): 63.87 90.00 90.00
Sites, in units of the cell vectors:
Ag 0.0000 0.4837 0.5161
Ru 0.5000 0.2871 0.2128
Ru 0.0000 0.9843 0.0164
Cu 0.5000 0.7449 0.7548

A plane-wave DFT calculation with GGA-PBE was carried out for CuAgRu2 after structural relaxation.

Properties
- Excess energy over the best structure of this formula in the dataset: 0 meV per atom
- Formation energy: 0.94 eV per formula unit
- Size of the total moment: 0.00 μB per cell

a b c (Å): 2.7767 2.7767 7.5907
angles (deg): 90.00 90.00 90.00
Sites, in units of the cell vectors:
Ru 0.5000 0.5000 0.2226
Ru 0.0000 0.0000 0.0044
Ag 0.0000 0.0000 0.5099
Cu 0.5000 0.5000 0.7631

A plane-wave DFT calculation with GGA-PBE was carried out for CuAgRu2 after structural relaxation.

Properties
- Excess energy over the best structure of this formula in the dataset: 280 meV per atom
- Formation energy: 2.07 eV per formula unit
- Size of the total moment: 0.12 μB per cell

a b c (Å): 4.6632 2.6777 4.7249
angles (deg): 85.32 90.00 90.00
Last column: magnetic moment on the atom in μB.
Sites, in units of the cell vectors:
Ru 0.0000 0.5350 0.5146  0.06
Ru 0.0000 0.9650 0.9854  0.06
Cu 0.5000 0.7500 0.7500  0.00
Ag 0.5000 0.2500 0.2500  0.00

A plane-wave DFT calculation with GGA-PBE was carried out for CuAg2Ru after structural relaxation.

Properties
- Excess energy over the best structure of this formula in the dataset: 0 meV per atom
- Formation energy: 1.17 eV per formula unit
- Size of the total moment: 0.24 μB per cell

a b c (Å): 9.4820 9.4820 9.4820
angles (deg): 16.78 16.78 16.78
Last column: magnetic moment on the atom in μB.
Sites, in units of the cell vectors:
Ru 0.7560 0.7560 0.7560  0.23
Cu 0.4965 0.4965 0.4965  0.02
Ag 0.2447 0.2447 0.2447  -0.01
Ag 0.0028 0.0028 0.0028  0.00

A plane-wave DFT calculation with GGA-PBE was carried out for Cu3AgRu after structural relaxation.

Properties
- Excess energy over the best structure of this formula in the dataset: 0 meV per atom
- Formation energy: 6.12 eV per formula unit
- Size of the total moment: 1.87 μB per cell

a b c (Å): 4.6324 4.6324 4.6324
angles (deg): 90.00 90.00 90.00
Last column: magnetic moment on the atom in μB.
Sites, in units of the cell vectors:
Ru 0.0000 0.0000 0.0000  1.28
Cu 0.5000 0.0000 0.0000  0.07
Cu 0.0000 0.0000 0.5000  0.36
Cu 0.0000 0.5000 0.0000  0.18
Ag 0.5000 0.5000 0.5000  0.00

A plane-wave DFT calculation with GGA-PBE was carried out for CuAg2Ru after structural relaxation.

Properties
- Excess energy over the best structure of this formula in the dataset: 104 meV per atom
- Formation energy: 1.59 eV per formula unit
- Size of the total moment: 0.00 μB per cell

a b c (Å): 4.8688 4.8688 5.0440
angles (deg): 80.65 80.65 31.78
Sites, in units of the cell vectors:
Cu 0.5043 0.5043 0.4793
Ag 0.9970 0.9970 0.0021
Ag 0.7557 0.7557 0.7502
Ru 0.2430 0.2430 0.2684

A plane-wave DFT calculation with GGA-PBE was carried out for CuAg2Ru after structural relaxation.

Properties
- Excess energy over the best structure of this formula in the dataset: 249 meV per atom
- Formation energy: 2.17 eV per formula unit
- Size of the total moment: 0.00 μB per cell

a b c (Å): 4.1912 3.8580 3.8580
angles (deg): 90.00 90.00 90.00
Sites, in units of the cell vectors:
Cu 0.5000 0.5000 0.0000
Ag 0.0000 0.5000 0.5000
Ag 0.0000 0.0000 0.0000
Ru 0.5000 0.0000 0.5000

A plane-wave DFT calculation with GGA-PBE was carried out for CuAg2Ru after structural relaxation.

Properties
- Excess energy over the best structure of this formula in the dataset: 112 meV per atom
- Formation energy: 1.62 eV per formula unit
- Size of the total moment: 0.58 μB per cell

a b c (Å): 2.7231 2.7231 9.5072
angles (deg): 90.00 90.00 117.28
Last column: magnetic moment on the atom in μB.
Sites, in units of the cell vectors:
Cu 0.5000 0.5000 0.2500  -0.01
Ru 0.5000 0.5000 0.7500  0.58
Ag 0.0000 0.0000 0.4907  0.00
Ag 0.0000 0.0000 0.0093  0.00

A plane-wave DFT calculation with GGA-PBE was carried out for Cu2AgRu after structural relaxation.

Properties
- Excess energy over the best structure of this formula in the dataset: 124 meV per atom
- Formation energy: 1.47 eV per formula unit
- Size of the total moment: 0.50 μB per cell

a b c (Å): 2.6220 3.8786 5.5548
angles (deg): 90.00 90.00 90.00
Last column: magnetic moment on the atom in μB.
Sites, in units of the cell vectors:
Cu 0.0000 0.0000 0.0112  0.01
Cu 0.5000 0.5000 0.2517  0.04
Ag 0.5000 0.5000 0.7611  0.01
Ru 0.0000 0.0000 0.4760  0.43

A plane-wave DFT calculation with GGA-PBE was carried out for CuAg2Ru after structural relaxation.

Properties
- Excess energy over the best structure of this formula in the dataset: 144 meV per atom
- Formation energy: 1.75 eV per formula unit
- Size of the total moment: 0.00 μB per cell

a b c (Å): 5.5450 5.5450 5.5450
angles (deg): 151.80 128.36 59.88
Sites, in units of the cell vectors:
Ru 0.2673 0.7673 0.5000
Ag 0.0040 0.0040 0.0000
Ag 0.7351 0.2351 0.5000
Cu 0.4936 0.4936 0.0000

A plane-wave DFT calculation with GGA-PBE was carried out for Cu2AgRu after structural relaxation.

Properties
- Excess energy over the best structure of this formula in the dataset: 177 meV per atom
- Formation energy: 1.68 eV per formula unit
- Size of the total moment: 0.00 μB per cell

a b c (Å): 5.3243 5.3243 5.3243
angles (deg): 151.25 126.85 61.55
Sites, in units of the cell vectors:
Ag 0.7500 0.2500 0.5000
Ru 0.2500 0.7500 0.5000
Cu 0.0057 0.0057 0.0000
Cu 0.4943 0.4943 0.0000

N(E_F) across the listed records, respectively: 4.3; 2.9; 5.0; 4.2; 3.1; 3.2; 5.1; 2.5; 3.0; 2.2; 4.0; 3.1; 4.3; 2.8; 2.6 states/eV/f.u..